Below is crystalline GaBiS2 at its relaxed geometry, with properties calculated at the GGA-PBE level.

As for the formation energy from raw total energies: -0.05 eV per atom. Its total energy is -61.4 eV per cell.

Cell lengths 6.9939, 6.9939, 6.9939 Å; angles 90.00, 90.00, 90.00 degrees
Last column: nearest neighbours and their distance in Å.
Space group Fm-3m (No. 225)
Unique sites:
Ga  0.0000  0.0000  0.0000 [4 per cell]  8 S 3.03
Bi  0.0000  0.0000  0.5000 [4 per cell]  8 S 3.03
S  0.2500  0.2500  0.2500 [8 per cell]  4 Bi 3.03, 4 Ga 3.03